No. 1
The following is a DFT calculation (PBE) of an optimized crystal structure of SrMg2FeCl.

Structure (extended XYZ):
```
5
Lattice="6.658 0.000 0.000 0.000 6.658 0.000 0.000 0.000 5.661" Properties=species:S:1:pos:R:3 pbc="T T T"
Sr 0.000 0.000 0.000
Mg 0.000 3.329 0.000
Mg 3.329 0.000 0.000
Fe 0.000 0.000 2.831
Cl 3.329 3.329 2.831
```

Output
M_tot ... 3.042 μB/f.u.
Electronic total energy ... -0.148 Ry/atom
ΔE_f (raw) ... 1.018 eV/atom
D(E_F) ... 0.141 states/eV/atom

No. 2
The following is a DFT calculation (PBE) of an optimized crystal structure of MgTl2FeCl6.

Structure (extended XYZ):
```
20
Lattice="7.055 0.000 0.000 0.000 7.047 0.000 -7.051 0.000 10.013" Properties=species:S:1:pos:R:3 pbc="T T T"
Mg 0.000 0.000 0.000
Mg -3.526 3.524 5.006
Tl -3.506 0.142 7.510
Tl 0.020 3.381 2.503
Tl -0.016 3.666 7.510
Tl 3.509 6.905 2.503
Fe 0.002 0.000 5.006
Fe 3.527 3.524 0.000
Cl -0.263 0.007 2.523
Cl -3.789 3.517 7.529
Cl 1.601 5.094 0.189
Cl -1.925 5.476 5.195
Cl 1.955 1.600 0.190
Cl -1.571 1.923 5.197
Cl 1.574 5.124 4.816
Cl -1.951 5.447 9.822
Cl 1.928 1.571 4.817
Cl -1.597 1.953 9.824
Cl 3.793 3.530 2.484
Cl 0.267 7.041 7.490
```

Output
M_tot ... 4.000 μB/f.u.
Electronic total energy ... -0.274 Ry/atom
ΔE_f (raw) ... -1.137 eV/atom
D(E_F) ... 0.662 states/eV/atom

No. 3
The following is a DFT calculation (PBE) of an optimized crystal structure of MgZr2FeCl.

Structure (extended XYZ):
```
5
Lattice="4.959 0.000 0.000 0.000 4.959 0.000 0.000 0.000 4.345" Properties=species:S:1:pos:R:3 pbc="T T T"
Mg 0.000 0.000 0.000
Zr 0.000 2.479 2.173
Zr 2.479 0.000 2.173
Fe 2.479 2.479 2.173
Cl 2.479 2.479 0.000
```

Output
M_tot ... 0.000 μB/f.u.
Electronic total energy ... -0.394 Ry/atom
ΔE_f (raw) ... 0.434 eV/atom
D(E_F) ... 1.439 states/eV/atom

No. 4
The following is a DFT calculation (PBE) of an optimized crystal structure of MnFe2Cl.

Structure (extended XYZ):
```
4
Lattice="2.751 0.000 0.000 0.000 2.751 0.000 0.000 0.000 6.841" Properties=species:S:1:pos:R:3 pbc="T T T"
Mn 0.000 0.000 0.000
Fe 1.375 1.375 1.630
Fe 1.375 1.375 5.211
Cl 0.000 0.000 3.421
```

Output
Energy above the most stable polymorph in this dataset ... 265 meV per atom
M_tot ... 4.062 μB/f.u.
Electronic total energy ... -0.483 Ry/atom
ΔE_f (raw) ... 0.416 eV/atom
D(E_F) ... 0.612 states/eV/atom

No. 5
The following is a DFT calculation (PBE) of an optimized crystal structure of Mn2FeCl.

Structure (extended XYZ):
```
4
Lattice="1.494 0.862 7.606 -1.494 0.862 7.606 0.000 -1.725 7.606" Properties=species:S:1:pos:R:3 pbc="T T T"
Mn 0.000 0.000 0.000
Mn 0.000 0.000 5.637
Fe 0.000 0.000 11.549
Cl 0.000 0.000 17.182
```

Output
Energy above the most stable polymorph in this dataset ... 184 meV per atom
M_tot ... 8.789 μB/f.u.
Electronic total energy ... -0.501 Ry/atom
ΔE_f (raw) ... 0.339 eV/atom
D(E_F) ... 0.612 states/eV/atom

No. 6
The following is a DFT calculation (PBE) of an optimized crystal structure of MnFe2Cl.

Structure (extended XYZ):
```
4
Lattice="5.508 -1.475 0.000 5.508 1.475 0.000 -1.415 0.000 3.700" Properties=species:S:1:pos:R:3 pbc="T T T"
Mn 0.000 0.000 0.000
Fe 2.618 0.000 1.007
Fe 6.984 0.000 2.693
Cl 4.801 0.000 1.850
```

Output
Energy above the most stable polymorph in this dataset ... 325 meV per atom
M_tot ... 9.486 μB/f.u.
Electronic total energy ... -0.478 Ry/atom
ΔE_f (raw) ... 0.477 eV/atom
D(E_F) ... 0.897 states/eV/atom

No. 7
The following is a DFT calculation (PBE) of an optimized crystal structure of MnFe2Cl.

Structure (extended XYZ):
```
4
Lattice="0.000 3.034 3.034 3.034 0.000 3.034 3.034 3.034 0.000" Properties=species:S:1:pos:R:3 pbc="T T T"
Mn 0.000 0.000 0.000
Fe 1.517 1.517 1.517
Fe 4.551 4.551 4.551
Cl 3.034 3.034 3.034
```

Output
Energy above the most stable polymorph in this dataset ... 701 meV per atom
M_tot ... 8.982 μB/f.u.
Electronic total energy ... -0.451 Ry/atom
ΔE_f (raw) ... 0.852 eV/atom
D(E_F) ... 1.089 states/eV/atom

No. 8
The following is a DFT calculation (PBE) of an optimized crystal structure of Mn2FeCl.

Structure (extended XYZ):
```
4
Lattice="4.570 0.000 0.000 0.000 2.886 0.000 -2.088 0.000 4.591" Properties=species:S:1:pos:R:3 pbc="T T T"
Mn 0.000 0.000 0.000
Mn -1.044 1.443 2.296
Fe 1.241 0.000 2.296
Cl 2.285 1.443 0.000
```

Output
Energy above the most stable polymorph in this dataset ... 394 meV per atom
M_tot ... 10.516 μB/f.u.
Electronic total energy ... -0.486 Ry/atom
ΔE_f (raw) ... 0.549 eV/atom
D(E_F) ... 0.824 states/eV/atom